# VAgBr5, optimized geometry, DFT GGA-PBE
data_VAgBr5
_symmetry_space_group_name_H-M 'C 1 2/c 1'
_symmetry_Int_Tables_number 15
_symmetry_space_group_name_Hall '-C 2yc'
_cell_length_a 14.005
_cell_length_b 6.999
_cell_length_c 9.780
_cell_angle_alpha 90.00
_cell_angle_beta 109.24
_cell_angle_gamma 90.00
loop_
_atom_site_label
_atom_site_fract_x
_atom_site_fract_y
_atom_site_fract_z
V1 0.000 0.000 0.000
Ag1 0.000 0.475 0.250
Br1 0.000 0.142 0.750
Br2 0.105 0.289 0.484
Br3 0.152 0.168 0.117
# Uncorrected energy in eV per atom: -3.47
# E_form (uncorrected) in eV/atom: -0.561